No. 1
# Sr2ReSi PBE-GGA optimized geometry
# Formation energy (no corrections): 787 meV/atom
# Spin magnetization: 1.13 μB/f.u.
# Calculated density: 7.15 g/cm3
data_Sr2ReSi
_chemical_formula_sum 'Sr4 Re2 Si2'
_space_group_name_H-M_alt 'I -4 m 2'
_space_group_IT_number 119
_space_group_name_Hall 'I -4 -2'
_cell_length_a 5.042
_cell_length_b 5.042
_cell_length_c 7.118
_cell_angle_alpha 90.00
_cell_angle_beta 90.00
_cell_angle_gamma 90.00
loop_
_atom_site_label
_atom_site_type_symbol
_atom_site_fract_x
_atom_site_fract_y
_atom_site_fract_z
Sr1 Sr 0.000 0.000 0.000
Sr2 Sr 0.000 0.500 0.250
Re1 Re 0.000 0.000 0.500
Si1 Si 0.000 0.500 0.750

---

No. 2
# Ac2Ho2Tl5 PBE-GGA optimized geometry
# Spin magnetization: 0.00 μB/f.u.
# Formation enthalpy at 0 K: -0.254 eV/atom
# Calculated density: 10.18 g/cm3
data_Ac2Ho2Tl5
_chemical_formula_sum 'Ac8 Ho8 Tl20'
_space_group_name_H-M_alt 'C m c e'
_space_group_IT_number 64
_space_group_name_Hall '-C 2ac 2'
_cell_length_a 17.526
_cell_length_b 8.172
_cell_length_c 8.224
_cell_angle_alpha 90.00
_cell_angle_beta 90.00
_cell_angle_gamma 90.00
loop_
_atom_site_label
_atom_site_type_symbol
_atom_site_fract_x
_atom_site_fract_y
_atom_site_fract_z
Ac1 Ac 0.202 0.000 0.000
Ho1 Ho 0.000 0.157 0.341
Tl1 Tl 0.000 0.000 0.000
Tl2 Tl 0.122 0.141 0.640

---

No. 3
# Mo2PbCl PBE-GGA optimized geometry
# Formation energy (no corrections): 66 meV/atom
# Spin magnetization: 0.00 μB/f.u.
# Distance to the lowest polymorph of the same formula: 0.0 meV/atom
# Calculated density: 8.02 g/cm3
data_Mo2PbCl
_chemical_formula_sum 'Mo2 Pb1 Cl1'
_space_group_name_H-M_alt 'P 1 m 1'
_space_group_IT_number 6
_cell_length_a 3.313
_cell_length_b 3.145
_cell_length_c 8.792
_cell_angle_alpha 90.00
_cell_angle_beta 100.70
_cell_angle_gamma 90.00
loop_
_space_group_symop_operation_xyz
'x,y,z'
'x,-y,z'
loop_
_atom_site_label
_atom_site_type_symbol
_atom_site_fract_x
_atom_site_fract_y
_atom_site_fract_z
Mo1 Mo 0.000 0.000 0.000
Mo2 Mo 0.425 0.500 0.847
Pb1 Pb 0.803 0.000 0.600
Cl1 Cl 0.109 0.500 0.222

---

No. 4
# ZrCrFe2Ag PBE-GGA optimized geometry
# Spin magnetization: 4.02 μB/f.u.
# Formation enthalpy at 0 K: 1.721 eV/atom
# Calculated density: 6.19 g/cm3
data_ZrCrFe2Ag
_chemical_formula_sum 'Zr1 Cr1 Fe2 Ag1'
_space_group_name_H-M_alt 'P 4/m m m'
_space_group_IT_number 123
_space_group_name_Hall '-P 4 2'
_cell_length_a 4.593
_cell_length_b 4.593
_cell_length_c 4.617
_cell_angle_alpha 90.00
_cell_angle_beta 90.00
_cell_angle_gamma 90.00
loop_
_atom_site_label
_atom_site_type_symbol
_atom_site_fract_x
_atom_site_fract_y
_atom_site_fract_z
Zr1 Zr 0.000 0.000 0.000
Cr1 Cr 0.500 0.500 0.000
Fe1 Fe 0.000 0.500 0.500
Ag1 Ag 0.500 0.500 0.500

---

No. 5
# SrTl2Sn PBE-GGA optimized geometry
# Spin magnetization: 0.00 μB/f.u.
# Formation enthalpy at 0 K: -0.287 eV/atom
# Distance to the lowest polymorph of the same formula: 18.5 meV/atom
# Calculated density: 8.14 g/cm3
data_SrTl2Sn
_chemical_formula_sum 'Sr2 Tl4 Sn2'
_space_group_name_H-M_alt 'P m m n'
_space_group_IT_number 59
_cell_length_a 5.541
_cell_length_b 7.380
_cell_length_c 6.136
_cell_angle_alpha 90.00
_cell_angle_beta 90.00
_cell_angle_gamma 90.00
loop_
_space_group_symop_operation_xyz
'x,y,z'
'-x,-y,-z'
'-x+1/2,-y+1/2,z'
'x+1/2,y+1/2,-z'
'x+1/2,-y,-z'
'-x+1/2,y,z'
'-x,y+1/2,-z'
'x,-y+1/2,z'
loop_
_atom_site_label
_atom_site_type_symbol
_atom_site_fract_x
_atom_site_fract_y
_atom_site_fract_z
Sr1 Sr 0.250 0.250 0.158
Tl1 Tl 0.250 0.001 0.690
Sn1 Sn 0.250 0.750 0.261

---

No. 6
# YZn3Co PBE-GGA optimized geometry
# Spin magnetization: 2.01 μB/f.u.
# Formation enthalpy at 0 K: 1.438 eV/atom
# Distance to the lowest polymorph of the same formula: 1510.5 meV/atom
# Calculated density: 3.48 g/cm3
data_YZn3Co
_chemical_formula_sum 'Y1 Zn3 Co1'
_space_group_name_H-M_alt 'P m -3 m'
_space_group_IT_number 221
_space_group_name_Hall '-P 4 2 3'
_cell_length_a 5.477
_cell_length_b 5.477
_cell_length_c 5.477
_cell_angle_alpha 90.00
_cell_angle_beta 90.00
_cell_angle_gamma 90.00
loop_
_atom_site_label
_atom_site_type_symbol
_atom_site_fract_x
_atom_site_fract_y
_atom_site_fract_z
Y1 Y 0.000 0.000 0.000
Zn1 Zn 0.000 0.000 0.500
Co1 Co 0.500 0.500 0.500

---

No. 7
# KTcIr2 PBE-GGA optimized geometry
# Spin magnetization: 0.00 μB/f.u.
# Formation enthalpy at 0 K: 0.355 eV/atom
# Distance to the lowest polymorph of the same formula: 0.0 meV/atom
# Calculated density: 11.95 g/cm3
data_KTcIr2
_chemical_formula_sum 'K1 Tc1 Ir2'
_space_group_name_H-M_alt 'P 4/m m m'
_space_group_IT_number 123
_space_group_name_Hall '-P 4 2'
_cell_length_a 2.831
_cell_length_b 2.831
_cell_length_c 9.046
_cell_angle_alpha 90.00
_cell_angle_beta 90.00
_cell_angle_gamma 90.00
loop_
_atom_site_label
_atom_site_type_symbol
_atom_site_fract_x
_atom_site_fract_y
_atom_site_fract_z
K1 K 0.000 0.000 0.000
Tc1 Tc 0.000 0.000 0.500
Ir1 Ir 0.500 0.500 0.307

---

No. 8
# Ho2Zn4Ga3Cu PBE-GGA optimized geometry
# Spin magnetization: 0.00 μB/f.u.
# Formation enthalpy at 0 K: -0.373 eV/atom
# Calculated density: 7.97 g/cm3
data_Ho2Zn4Ga3Cu
_chemical_formula_sum 'Ho2 Zn4 Ga3 Cu1'
_space_group_name_H-M_alt 'P -4 m 2'
_space_group_IT_number 115
_cell_length_a 4.143
_cell_length_b 4.143
_cell_length_c 10.489
_cell_angle_alpha 90.00
_cell_angle_beta 90.00
_cell_angle_gamma 90.00
loop_
_space_group_symop_operation_xyz
'x,y,z'
'y,-x,-z'
'-x,-y,z'
'-y,x,-z'
'-x,y,z'
'-y,-x,-z'
'x,-y,z'
'y,x,-z'
loop_
_atom_site_label
_atom_site_type_symbol
_atom_site_fract_x
_atom_site_fract_y
_atom_site_fract_z
Ho1 Ho 0.000 0.500 0.245
Zn1 Zn 0.000 0.000 0.500
Zn2 Zn 0.000 0.500 0.870
Zn3 Zn 0.500 0.500 0.500
Ga1 Ga 0.000 0.000 0.000
Ga2 Ga 0.000 0.500 0.641
Cu1 Cu 0.500 0.500 0.000

---

No. 9
# GdIrRh2 PBE-GGA optimized geometry
# Spin magnetization: 6.99 μB/f.u.
# Formation enthalpy at 0 K: -0.416 eV/atom
# Calculated density: 13.68 g/cm3
data_GdIrRh2
_chemical_formula_sum 'Gd1 Ir1 Rh2'
_space_group_name_H-M_alt 'P 4/m m m'
_space_group_IT_number 123
_space_group_name_Hall '-P 4 2'
_cell_length_a 4.094
_cell_length_b 4.094
_cell_length_c 4.020
_cell_angle_alpha 90.00
_cell_angle_beta 90.00
_cell_angle_gamma 90.00
loop_
_atom_site_label
_atom_site_type_symbol
_atom_site_fract_x
_atom_site_fract_y
_atom_site_fract_z
Gd1 Gd 0.000 0.000 0.000
Ir1 Ir 0.500 0.500 0.000
Rh1 Rh 0.000 0.500 0.500

---

No. 10
# Sr2TlHgPd PBE-GGA optimized geometry
# Spin magnetization: 0.00 μB/f.u.
# Formation enthalpy at 0 K: -0.371 eV/atom
# Distance to the lowest polymorph of the same formula: 0.0 meV/atom
# Calculated density: 6.35 g/cm3
data_Sr2TlHgPd
_chemical_formula_sum 'Sr2 Tl1 Hg1 Pd1'
_space_group_name_H-M_alt 'P 4/m m m'
_space_group_IT_number 123
_space_group_name_Hall '-P 4 2'
_cell_length_a 5.864
_cell_length_b 5.864
_cell_length_c 5.222
_cell_angle_alpha 90.00
_cell_angle_beta 90.00
_cell_angle_gamma 90.00
loop_
_atom_site_label
_atom_site_type_symbol
_atom_site_fract_x
_atom_site_fract_y
_atom_site_fract_z
Sr1 Sr 0.000 0.500 0.000
Tl1 Tl 0.000 0.000 0.500
Hg1 Hg 0.500 0.500 0.500
Pd1 Pd 0.000 0.000 0.000

---

No. 11
# Ca2UCl8 PBE-GGA optimized geometry
# Formation energy (no corrections): -1871 meV/atom
# Spin magnetization: 2.00 μB/f.u.
# Calculated density: 3.16 g/cm3
data_Ca2UCl8
_chemical_formula_sum 'Ca4 U2 Cl16'
_space_group_name_H-M_alt 'C 1 2/m 1'
_space_group_IT_number 12
_cell_length_a 7.521
_cell_length_b 11.928
_cell_length_c 7.153
_cell_angle_alpha 90.00
_cell_angle_beta 99.94
_cell_angle_gamma 90.00
loop_
_space_group_symop_operation_xyz
'x,y,z'
'-x,-y,-z'
'-x,y,-z'
'x,-y,z'
'x+1/2,y+1/2,z'
'-x+1/2,-y+1/2,-z'
'-x+1/2,y+1/2,-z'
'x+1/2,-y+1/2,z'
loop_
_atom_site_label
_atom_site_type_symbol
_atom_site_fract_x
_atom_site_fract_y
_atom_site_fract_z
Ca1 Ca 0.000 0.191 0.000
U1 U 0.000 0.500 0.500
Cl1 Cl 0.000 0.290 0.500
Cl2 Cl 0.181 0.000 0.272
Cl3 Cl 0.212 0.361 0.160

---

No. 12
# SmCdPb2 PBE-GGA optimized geometry
# Spin magnetization: 0.00 μB/f.u.
# Formation enthalpy at 0 K: -0.362 eV/atom
# Distance to the lowest polymorph of the same formula: 0.0 meV/atom
# Calculated density: 10.22 g/cm3
data_SmCdPb2
_chemical_formula_sum 'Sm1 Cd1 Pb2'
_space_group_name_H-M_alt 'P 4/m m m'
_space_group_IT_number 123
_space_group_name_Hall '-P 4 2'
_cell_length_a 4.901
_cell_length_b 4.901
_cell_length_c 4.582
_cell_angle_alpha 90.00
_cell_angle_beta 90.00
_cell_angle_gamma 90.00
loop_
_atom_site_label
_atom_site_type_symbol
_atom_site_fract_x
_atom_site_fract_y
_atom_site_fract_z
Sm1 Sm 0.000 0.000 0.000
Cd1 Cd 0.500 0.500 0.000
Pb1 Pb 0.000 0.500 0.500

---

No. 13
# Ga3ReMo PBE-GGA optimized geometry
# Spin magnetization: 4.18 μB/f.u.
# Formation enthalpy at 0 K: 0.953 eV/atom
# Distance to the lowest polymorph of the same formula: 0.0 meV/atom
# Calculated density: 7.39 g/cm3
data_Ga3ReMo
_chemical_formula_sum 'Ga3 Re1 Mo1'
_space_group_name_H-M_alt 'P m -3 m'
_space_group_IT_number 221
_space_group_name_Hall '-P 4 2 3'
_cell_length_a 4.798
_cell_length_b 4.798
_cell_length_c 4.798
_cell_angle_alpha 90.00
_cell_angle_beta 90.00
_cell_angle_gamma 90.00
loop_
_atom_site_label
_atom_site_type_symbol
_atom_site_fract_x
_atom_site_fract_y
_atom_site_fract_z
Ga1 Ga 0.000 0.000 0.500
Re1 Re 0.000 0.000 0.000
Mo1 Mo 0.500 0.500 0.500

---

No. 14
# Nd2ErIn PBE-GGA optimized geometry
# Spin magnetization: 1.30 μB/f.u.
# Formation enthalpy at 0 K: -0.112 eV/atom
# Distance to the lowest polymorph of the same formula: 155.8 meV/atom
# Calculated density: 7.86 g/cm3
data_Nd2ErIn
_chemical_formula_sum 'Nd6 Er3 In3'
_space_group_name_H-M_alt 'R 3 m'
_space_group_IT_number 160
_space_group_name_Hall 'R 3 -2"'
_cell_length_a 5.5437
_cell_length_b 5.5437
_cell_length_c 13.5899
_cell_angle_alpha 90.00
_cell_angle_beta 90.00
_cell_angle_gamma 120.00
loop_
_atom_site_label
_atom_site_type_symbol
_atom_site_fract_x
_atom_site_fract_y
_atom_site_fract_z
Nd1 Nd 0.0000 0.0000 0.0000
Nd2 Nd 0.0000 0.0000 0.2492
Er1 Er 0.0000 0.0000 0.4988
In1 In 0.0000 0.0000 0.7495

---

No. 15
# Na3TaHg PBE-GGA optimized geometry
# Spin magnetization: 5.87 μB/f.u.
# Formation enthalpy at 0 K: 1.338 eV/atom
# Distance to the lowest polymorph of the same formula: 124.3 meV/atom
# Calculated density: 3.29 g/cm3
data_Na3TaHg
_chemical_formula_sum 'Na3 Ta1 Hg1'
_space_group_name_H-M_alt 'P m -3 m'
_space_group_IT_number 221
_space_group_name_Hall '-P 4 2 3'
_cell_length_a 6.104
_cell_length_b 6.104
_cell_length_c 6.104
_cell_angle_alpha 90.00
_cell_angle_beta 90.00
_cell_angle_gamma 90.00
loop_
_atom_site_label
_atom_site_type_symbol
_atom_site_fract_x
_atom_site_fract_y
_atom_site_fract_z
Na1 Na 0.000 0.000 0.500
Ta1 Ta 0.000 0.000 0.000
Hg1 Hg 0.500 0.500 0.500

---

No. 16
# K2Er2NpO6 PBE-GGA optimized geometry
# Formation energy (no corrections): -2841 meV/atom
# Spin magnetization: 3.00 μB/f.u.
# Calculated density: 6.28 g/cm3
data_K2Er2NpO6
_chemical_formula_sum 'K4 Er4 Np2 O12'
_space_group_name_H-M_alt 'C 1 2/m 1'
_space_group_IT_number 12
_cell_length_a 5.975
_cell_length_b 10.375
_cell_length_c 6.674
_cell_angle_alpha 90.00
_cell_angle_beta 107.47
_cell_angle_gamma 90.00
loop_
_space_group_symop_operation_xyz
'x,y,z'
'-x,-y,-z'
'-x,y,-z'
'x,-y,z'
'x+1/2,y+1/2,z'
'-x+1/2,-y+1/2,-z'
'-x+1/2,y+1/2,-z'
'x+1/2,-y+1/2,z'
loop_
_atom_site_label
_atom_site_type_symbol
_atom_site_fract_x
_atom_site_fract_y
_atom_site_fract_z
K1 K 0.000 0.169 0.000
Er1 Er 0.000 0.334 0.500
Np1 Np 0.000 0.000 0.500
O1 O 0.220 0.169 0.673
O2 O 0.237 0.500 0.671

---

No. 17
# Pu4HgPtAu2 PBE-GGA optimized geometry
# Spin magnetization: 22.87 μB/f.u.
# Formation enthalpy at 0 K: -0.415 eV/atom
# Calculated density: 15.20 g/cm3
data_Pu4HgPtAu2
_chemical_formula_sum 'Pu12 Hg3 Pt3 Au6'
_space_group_name_H-M_alt 'R -3 m'
_space_group_IT_number 166
_space_group_name_Hall '-R 3 2"'
_cell_length_a 5.1804
_cell_length_b 5.1804
_cell_length_c 24.8947
_cell_angle_alpha 90.00
_cell_angle_beta 90.00
_cell_angle_gamma 120.00
loop_
_atom_site_label
_atom_site_type_symbol
_atom_site_fract_x
_atom_site_fract_y
_atom_site_fract_z
Pu1 Pu 0.0000 0.0000 0.1145
Pu2 Pu 0.0000 0.0000 0.3654
Hg1 Hg 0.0000 0.0000 0.5000
Pt1 Pt 0.0000 0.0000 0.0000
Au1 Au 0.0000 0.0000 0.2400

---

No. 18
# Zr2TlW PBE-GGA optimized geometry
# Spin magnetization: 0.00 μB/f.u.
# Formation enthalpy at 0 K: 0.175 eV/atom
# Distance to the lowest polymorph of the same formula: 180.9 meV/atom
# Calculated density: 11.26 g/cm3
data_Zr2TlW
_chemical_formula_sum 'Zr2 Tl1 W1'
_space_group_name_H-M_alt 'P 1 2/m 1'
_space_group_IT_number 10
_cell_length_a 3.080
_cell_length_b 4.410
_cell_length_c 6.278
_cell_angle_alpha 90.00
_cell_angle_beta 99.39
_cell_angle_gamma 90.00
loop_
_space_group_symop_operation_xyz
'x,y,z'
'-x,-y,-z'
'-x,y,-z'
'x,-y,z'
loop_
_atom_site_label
_atom_site_type_symbol
_atom_site_fract_x
_atom_site_fract_y
_atom_site_fract_z
Zr1 Zr 0.112 0.000 0.271
Tl1 Tl 0.500 0.500 0.000
W1 W 0.500 0.500 0.500

---

No. 19
# LiZn6Ag8 PBE-GGA optimized geometry
# Spin magnetization: 0.00 μB/f.u.
# Formation enthalpy at 0 K: 0.046 eV/atom
# Distance to the lowest polymorph of the same formula: 27.6 meV/atom
# Calculated density: 7.60 g/cm3
data_LiZn6Ag8
_chemical_formula_sum 'Li1 Zn6 Ag8'
_space_group_name_H-M_alt 'P -3'
_space_group_IT_number 147
_cell_length_a 8.2150
_cell_length_b 8.2150
_cell_length_c 4.7190
_cell_angle_alpha 90.00
_cell_angle_beta 90.00
_cell_angle_gamma 120.00
loop_
_space_group_symop_operation_xyz
'x,y,z'
'-x,-y,-z'
'-y,x-y,z'
'y,-x+y,-z'
'-x+y,-x,z'
'x-y,x,-z'
loop_
_atom_site_label
_atom_site_type_symbol
_atom_site_fract_x
_atom_site_fract_y
_atom_site_fract_z
Li1 Li 0.0000 0.0000 0.0000
Zn1 Zn 0.1340 0.4681 0.9019
Ag1 Ag 0.0160 0.6936 0.6074
Ag2 Ag 0.3333 0.6667 0.3823

---

No. 20
# PrNbBi PBE-GGA optimized geometry
# Spin magnetization: 0.00 μB/f.u.
# Formation enthalpy at 0 K: -0.109 eV/atom
# Calculated density: 9.14 g/cm3
data_PrNbBi
_chemical_formula_sum 'Pr2 Nb2 Bi2'
_space_group_name_H-M_alt 'P 4/n m m'
_space_group_IT_number 129
_cell_length_a 3.642
_cell_length_b 3.642
_cell_length_c 12.129
_cell_angle_alpha 90.00
_cell_angle_beta 90.00
_cell_angle_gamma 90.00
loop_
_space_group_symop_operation_xyz
'x,y,z'
'-x,-y,-z'
'-y+1/2,x,z'
'y+1/2,-x,-z'
'-x+1/2,-y+1/2,z'
'x+1/2,y+1/2,-z'
'y,-x+1/2,z'
'-y,x+1/2,-z'
'x+1/2,-y,-z'
'-x+1/2,y,z'
'-y,-x,-z'
'y,x,z'
'-x,y+1/2,-z'
'x,-y+1/2,z'
'y+1/2,x+1/2,-z'
'-y+1/2,-x+1/2,z'
loop_
_atom_site_label
_atom_site_type_symbol
_atom_site_fract_x
_atom_site_fract_y
_atom_site_fract_z
Pr1 Pr 0.250 0.250 0.115
Nb1 Nb 0.250 0.250 0.444
Bi1 Bi 0.250 0.250 0.694